(1)
# NaLaHfNi

A relaxed structure of NaLaHfNi (PBE-GGA, OQMD).

Lattice parameters (Å, degrees): 4.9191 4.9191 4.9191 60.00 60.00 60.00
Sites, in units of the cell vectors:
Hf 0.2500 0.2500 0.2500
La 0.0000 0.0000 0.0000
Na 0.7500 0.7500 0.7500
Ni 0.5000 0.5000 0.5000

Output
V (Å³ per atom): 21.042
Space group: F-43m
Total magnetic moment (μB/cell): 0.00
Energy relative to the lowest polymorph listed for this composition (meV per atom): 80

***

(2)
# NaLaHfNi

A relaxed structure of NaLaHfNi (PBE-GGA, OQMD).

Lattice parameters (Å, degrees): 4.9854 4.9854 4.9854 60.00 60.00 60.00
Sites, in units of the cell vectors:
Hf 0.0000 0.0000 0.0000
La 0.2500 0.2500 0.2500
Na 0.7500 0.7500 0.7500
Ni 0.5000 0.5000 0.5000

Output
V (Å³ per atom): 21.904
Space group: F-43m
Total magnetic moment (μB/cell): 0.00
Energy relative to the lowest polymorph listed for this composition (meV per atom): 223

***

(3)
# NaLaHfNi

A relaxed structure of NaLaHfNi (PBE-GGA, OQMD).

Lattice parameters (Å, degrees): 5.0137 5.0137 5.0137 60.00 60.00 60.00
Sites, in units of the cell vectors:
Hf 0.5000 0.5000 0.5000
La 0.0000 0.0000 0.0000
Na 0.7500 0.7500 0.7500
Ni 0.2500 0.2500 0.2500

Output
V (Å³ per atom): 22.280
Space group: F-43m
Total magnetic moment (μB/cell): 0.35
Energy relative to the lowest polymorph listed for this composition (meV per atom): 0